## one
The following is a PBE calculation of a relaxed AlRuSe2Br crystal, from Alexandria via LeMat-Bulk.

Output
ρ: 4.860 g/cm³
total magnetization: 0.0 μB per formula unit

Unit cell a=4.8268 b=4.8268 c=5.3658 alpha=90.00 beta=90.00 gamma=90.00
Atoms (fractional coordinates):
Ru: 0.0000 0.0000 0.0000
Se: 0.0000 0.5000 0.0000
Se: 0.5000 0.0000 0.0000
Br: 0.0000 0.0000 0.5000
Al: 0.5000 0.5000 0.5000


## two
The following is a PBE calculation of a relaxed AlRuSe2Br crystal, from Alexandria via LeMat-Bulk.

Output
ρ: 5.092 g/cm³
total magnetization: 3.7 μB per formula unit

Unit cell a=4.8979 b=4.8979 c=4.9737 alpha=90.00 beta=90.00 gamma=90.00
Atoms (fractional coordinates):
Ru: 0.5000 0.5000 0.5000
Se: 0.0000 0.5000 0.0000
Se: 0.5000 0.0000 0.0000
Br: 0.0000 0.0000 0.5000
Al: 0.0000 0.0000 0.0000


Winner for stability: one